No. 1
Computed, not measured: a geometry-optimized In2Ag5 structure at the PBE level of DFT.

Cell lengths 9.160, 9.160, 6.087 Å; angles 91.46, 91.46, 32.44 degrees
Fractional positions:
In: 0.026 0.820 0.608
In: 0.180 0.974 0.892
In: 0.820 0.026 0.108
In: 0.974 0.180 0.392
Ag: 0.133 0.302 0.681
Ag: 0.264 0.446 0.973
Ag: 0.302 0.133 0.181
Ag: 0.403 0.597 0.250
Ag: 0.446 0.264 0.473
Ag: 0.554 0.736 0.527
Ag: 0.597 0.403 0.750
Ag: 0.698 0.867 0.819
Ag: 0.736 0.554 0.027
Ag: 0.867 0.698 0.319

Output
Energy relative to the lowest polymorph listed for this composition   16.3 meV per atom
Crystal system   monoclinic



No. 2
Computed, not measured: a geometry-optimized InAg structure at the PBE level of DFT.

Cell lengths 7.436, 7.436, 7.436 Å; angles 92.96, 92.96, 153.74 degrees
Fractional positions:
In: 0.154 0.154 0.308
In: 0.154 0.846 0.000
In: 0.846 0.154 0.000
In: 0.846 0.846 0.692
Ag: 0.162 0.500 0.662
Ag: 0.500 0.162 0.662
Ag: 0.500 0.838 0.338
Ag: 0.838 0.500 0.338

Output
Crystal system   tetragonal



No. 3
Computed, not measured: a geometry-optimized In3Ag5 structure at the PBE level of DFT.

Cell lengths 6.064, 6.064, 4.360 Å; angles 90.00, 90.00, 93.72 degrees
Fractional positions:
In: 0.000 0.000 0.000
In: 0.268 0.732 0.500
In: 0.732 0.268 0.500
Ag: 0.000 0.500 0.000
Ag: 0.244 0.244 0.500
Ag: 0.500 0.000 0.000
Ag: 0.500 0.500 0.000
Ag: 0.756 0.756 0.500

Output
Energy relative to the lowest polymorph listed for this composition   13.9 meV per atom
Crystal system   orthorhombic



No. 4
Computed, not measured: a geometry-optimized In2Ag3 structure at the PBE level of DFT.

Cell lengths 5.339, 5.339, 4.539 Å; angles 112.19, 112.19, 69.18 degrees
Fractional positions:
In: 0.195 0.195 0.182
In: 0.805 0.805 0.818
Ag: 0.228 0.772 0.500
Ag: 0.500 0.500 0.000
Ag: 0.772 0.228 0.500

Output
Crystal system   monoclinic



No. 5
Computed, not measured: a geometry-optimized InAg5 structure at the PBE level of DFT.

Cell lengths 5.541, 5.541, 4.762 Å; angles 90.00, 90.00, 120.00 degrees
Fractional positions:
In: 0.000 0.000 0.000
Ag: 0.000 0.500 0.500
Ag: 0.333 0.667 0.000
Ag: 0.500 0.000 0.500
Ag: 0.500 0.500 0.500
Ag: 0.667 0.333 0.000

Output
Energy relative to the lowest polymorph listed for this composition   140.7 meV per atom
Crystal system   hexagonal



No. 6
Computed, not measured: a geometry-optimized In3Ag structure at the PBE level of DFT.

Cell lengths 5.416, 5.416, 5.416 Å; angles 90.00, 90.00, 90.00 degrees
Fractional positions:
In: 0.000 0.000 0.500
In: 0.000 0.500 0.000
In: 0.500 0.000 0.000
Ag: 0.000 0.000 0.000

Output
Crystal system   cubic



No. 7
Computed, not measured: a geometry-optimized In3Ag5 structure at the PBE level of DFT.

Cell lengths 6.208, 11.070, 4.794 Å; angles 90.00, 90.00, 90.00 degrees
Fractional positions:
In: 0.000 0.000 0.000
In: 0.130 0.345 0.500
In: 0.370 0.845 0.500
In: 0.500 0.500 0.000
In: 0.630 0.155 0.500
In: 0.870 0.655 0.500
Ag: 0.000 0.500 0.000
Ag: 0.184 0.087 0.500
Ag: 0.204 0.734 0.000
Ag: 0.296 0.234 0.000
Ag: 0.316 0.587 0.500
Ag: 0.500 0.000 0.000
Ag: 0.684 0.413 0.500
Ag: 0.704 0.766 0.000
Ag: 0.796 0.266 0.000
Ag: 0.816 0.913 0.500

Output
Energy relative to the lowest polymorph listed for this composition   24.4 meV per atom
Crystal system   orthorhombic



No. 8
Computed, not measured: a geometry-optimized In2Ag structure at the PBE level of DFT.

Cell lengths 4.774, 4.774, 3.394 Å; angles 90.00, 90.00, 90.00 degrees
Fractional positions:
In: 0.000 0.500 0.000
In: 0.500 0.000 0.000
Ag: 0.000 0.000 0.500

Output
Crystal system   tetragonal



No. 9
Computed, not measured: a geometry-optimized In3Ag structure at the PBE level of DFT.

Cell lengths 3.321, 3.321, 8.743 Å; angles 90.00, 90.00, 90.00 degrees
Fractional positions:
In: 0.000 0.000 0.000
In: 0.500 0.500 0.282
In: 0.500 0.500 0.718
Ag: 0.000 0.000 0.500

Output
Crystal system   tetragonal



No. 10
Computed, not measured: a geometry-optimized In2Ag3 structure at the PBE level of DFT.

Cell lengths 11.485, 11.485, 11.485 Å; angles 16.32, 16.32, 16.32 degrees
Fractional positions:
In: 0.099 0.099 0.099
In: 0.901 0.901 0.901
Ag: 0.301 0.301 0.301
Ag: 0.500 0.500 0.500
Ag: 0.699 0.699 0.699

Output
Crystal system   trigonal



No. 11
Computed, not measured: a geometry-optimized In3AgIr structure at the PBE level of DFT.

Cell lengths 5.161, 5.161, 5.161 Å; angles 90.00, 90.00, 90.00 degrees
Fractional positions:
In: 0.000 0.000 0.500
In: 0.000 0.500 0.000
In: 0.500 0.000 0.000
Ag: 0.500 0.500 0.500
Ir: 0.000 0.000 0.000

Output
Energy relative to the lowest polymorph listed for this composition   0.0 meV per atom
Crystal system   cubic



No. 12
Computed, not measured: a geometry-optimized InAgIr structure at the PBE level of DFT.

Cell lengths 3.035, 3.981, 5.034 Å; angles 66.73, 72.62, 89.91 degrees
Fractional positions:
In: 0.000 0.000 0.000
Ag: 0.321 0.323 0.355
Ir: 0.652 0.653 0.694

Output
Energy relative to the lowest polymorph listed for this composition   86.2 meV per atom
Crystal system   triclinic



| no. | total DFT energy (no corrections) (eV per atom) | DFT formation energy (eV per formula unit) |
| --- | --- | --- |
| 1 | -2.82 | 0.021 |
| 2 | -2.76 | 0.067 |
| 3 | -2.80 | 0.050 |
| 4 | -2.75 | 0.261 |
| 5 | -2.71 | 0.722 |
| 6 | -2.38 | 1.550 |
| 7 | -2.79 | 0.135 |
| 8 | -2.69 | 0.267 |
| 9 | -2.75 | 0.079 |
| 10 | -2.72 | 0.406 |
| 11 | -3.90 | 0.450 |
| 12 | -4.65 | 0.508 |